Entry 1:
The following is a DFT calculation (PBE) of an optimized crystal structure of CaHf2TaO8.

Structure (extended XYZ):
```
12
Lattice="4.910 0.028 -0.003 0.072 4.910 -0.005 0.004 0.007 6.600" Properties=species:S:1:pos:R:3 pbc="T T T"
O 3.935 1.017 1.410
Ta 0.000 0.000 0.000
Hf 2.494 2.474 4.897
Ca 0.002 0.004 3.300
O 1.049 3.924 1.409
O 1.602 1.586 3.297
O 1.466 1.451 -0.003
Hf 2.492 2.471 1.694
O 3.384 3.360 3.294
O 1.051 3.929 5.180
O 3.521 3.494 6.593
O 3.938 1.021 5.182
```

Output
electronic total energy: -9.16 eV per atom
raw formation energy: -3.04 eV per atom
theoretical density: 7.4 Mg/m³

***

Entry 2:
The following is a DFT calculation (PBE) of an optimized crystal structure of Ac8Co3Au2.

Structure (extended XYZ):
```
13
Lattice="-4.928 -1.348 -5.177 6.065 -0.040 -5.762 -0.437 -6.966 5.661" Properties=species:S:1:pos:R:3 pbc="T T T"
Ac -2.492 -6.266 0.571
Au -0.296 -4.015 -0.283
Ac 1.651 -5.600 1.776
Ac 0.654 -6.287 -2.418
Co 4.522 -0.030 -4.296
Ac 3.192 -2.088 -5.849
Co -2.464 -0.674 -2.589
Ac -0.951 -2.754 -7.054
Co 1.543 -0.010 -1.466
Ac 0.046 -2.068 -2.860
Au 0.996 -4.339 -4.995
Ac -3.908 -2.702 -4.095
Ac 4.608 -5.652 -1.183
```

Output
electronic total energy: -4.91 eV per atom
theoretical density: 8.6 Mg/m³